This record from Alexandria describes crystalline K4YSb3O12 at its relaxed geometry. The functional is PBE.

## Properties
The volume is 14.26 A^3/atom. The value obtained for the uncorrected formation energy is -1.672 eV/atom.

abc: 7.1826 7.1826 7.1826
angles: 109.47 109.47 109.47
Sites, in units of the cell vectors:
K 0.5000 0.5000 0.5000
K 0.0000 0.0000 0.5000
K 0.5000 0.0000 0.0000
K 0.0000 0.5000 0.0000
Y 0.0000 0.0000 0.0000
Sb 0.5000 0.0000 0.5000
Sb 0.5000 0.5000 0.0000
Sb 0.0000 0.5000 0.5000
O 0.2500 0.5000 0.7500
O 0.7321 0.0000 0.7321
O 0.2679 0.0000 0.2679
O 0.7500 0.5000 0.2500
O 0.7321 0.7321 0.0000
O 0.2679 0.2679 0.0000
O 0.7500 0.2500 0.5000
O 0.2500 0.7500 0.5000
O 0.5000 0.2500 0.7500
O 0.0000 0.7321 0.7321
O 0.5000 0.7500 0.2500
O 0.0000 0.2679 0.2679